No. 1
# Ac4AsSe2N

A relaxed Ac4AsSe2N crystal (PBE, the Alexandria database).

Geometry as POSCAR:
```
Ac4AsSe2N
1.0
-2.067 0.771 3.703
6.465 -0.689 3.753
-0.905 7.354 -2.036
Se Ac N As
2 4 1 1
Direct
0.000 0.500 0.500
0.500 0.000 0.500
0.500 0.220 0.215
0.000 0.234 0.775
0.500 0.780 0.785
0.000 0.766 0.225
0.000 0.000 0.000
0.500 0.500 0.000
```

## Properties
electronic total energy = -0.447 Ry per atom
raw formation energy = -1.539 eV per atom
space-group type = No. 10
size of the total moment = 0.0 μB per formula unit

---

No. 2
# Ac4AsSe2N2

A relaxed Ac4AsSe2N2 crystal (PBE, the Alexandria database).

Geometry as POSCAR:
```
Ac4AsSe2N2
1.0
-2.845 0.903 -3.028
1.568 -8.314 -0.966
-5.456 1.302 5.514
Se Ac N As
2 4 2 1
Direct
0.875 0.751 0.466
0.125 0.249 0.534
0.534 0.067 0.751
0.217 0.434 0.172
0.466 0.933 0.249
0.783 0.566 0.828
0.676 0.352 0.981
0.324 0.648 0.019
0.000 0.000 0.000
```

## Properties
electronic total energy = -0.472 Ry per atom
raw formation energy = -1.456 eV per atom
space-group type = No. 12
size of the total moment = 0.0 μB per formula unit